<a>
Computed, not measured: a relaxed Pr3Nd2Er crystal at the PBE level of DFT.

a b c (Å): 3.4565 6.8404 18.0716
angles (deg): 90.00 90.00 90.00
Positions (direct):
Pr 0.0000 0.0000 0.0000
Pr 0.5000 0.5000 0.5000
Pr 0.5000 0.7403 0.8204
Pr 0.5000 0.2596 0.1796
Pr 0.0000 0.2404 0.6796
Pr 0.0000 0.7597 0.3204
Nd 0.5000 0.7652 0.1492
Nd 0.0000 0.2652 0.3508
Nd 0.0000 0.7348 0.6492
Nd 0.5000 0.2348 0.8508
Er 0.0000 0.0000 0.5000
Er 0.5000 0.5000 0.0000

space-group type = Pnnm (58)
M_tot = 0.00 μB per cell


<b>
Computed, not measured: a relaxed Pr3Nd2Er crystal at the PBE level of DFT.

a b c (Å): 3.5940 7.0044 17.8503
angles (deg): 79.21 84.22 75.13
Positions (direct):
Pr 0.0620 0.0444 0.8316
Pr 0.9380 0.9556 0.1684
Pr 0.6257 0.7403 0.0083
Pr 0.3743 0.2597 0.9917
Pr 0.7303 0.8752 0.6643
Pr 0.2697 0.1248 0.3357
Nd 0.8012 0.5623 0.8353
Nd 0.1988 0.4377 0.1647
Nd 0.6301 0.2391 0.5007
Nd 0.3699 0.7609 0.4993
Er 0.4572 0.4054 0.6803
Er 0.5428 0.5946 0.3197

space-group type = C2/m (12)
M_tot = 0.00 μB per cell


What should be chosen as the most stable of them? Choose <b>.


<a>
Computed, not measured: a relaxed PrNd2Er crystal at the PBE level of DFT.

a b c (Å): 4.2610 4.2610 7.5785
angles (deg): 90.00 90.00 90.00
Positions (direct):
Pr 0.5000 0.5000 0.5000
Nd 0.0000 0.0000 0.7622
Nd 0.0000 0.0000 0.2378
Er 0.5000 0.5000 0.0000

space-group type = P4/mmm (123)
M_tot = 0.00 μB per cell


<b>
Computed, not measured: a relaxed PrNd2Er crystal at the PBE level of DFT.

a b c (Å): 3.6518 3.6518 12.0722
angles (deg): 81.30 81.30 60.00
Positions (direct):
Pr 0.4997 0.4997 0.5009
Nd 0.0811 0.0811 0.7566
Nd 0.2523 0.2523 0.2431
Er 0.6668 0.6668 0.9995

space-group type = R3m (160)
M_tot = 0.00 μB per cell


What should be chosen as the most stable of them? Choose <b>.


<a>
Computed, not measured: a relaxed Pr5Nd2Er2 crystal at the PBE level of DFT.

a b c (Å): 12.0138 6.9410 10.2564
angles (deg): 109.78 125.85 90.00
Positions (direct):
Pr 0.1932 0.6591 0.8938
Pr 0.8068 0.7653 0.1062
Pr 0.2006 0.1591 0.8938
Pr 0.7994 0.2653 0.1062
Pr 0.3767 0.0196 0.2861
Pr 0.6233 0.7335 0.7139
Pr 0.4094 0.5196 0.2861
Pr 0.5906 0.2335 0.7139
Pr 0.0062 0.6602 0.5000
Pr 0.9938 0.1602 0.5000
Nd 0.1302 0.6817 0.2524
Nd 0.8698 0.4293 0.7476
Nd 0.6222 0.1817 0.2524
Nd 0.3778 0.9293 0.7476
Er 0.0000 0.0363 0.0000
Er 0.5000 0.5363 0.0000
Er 0.2584 0.3511 0.5000
Er 0.7416 0.8511 0.5000

space-group type = Ima2 (46)
M_tot = 0.00 μB per cell


<b>
Computed, not measured: a relaxed Pr5Nd2Er2 crystal at the PBE level of DFT.

a b c (Å): 6.3484 6.3482 14.1832
angles (deg): 58.49 132.19 131.85
Positions (direct):
Pr 0.4442 0.6668 0.1111
Pr 0.5558 0.3332 0.8889
Pr 0.2228 0.3327 0.5551
Pr 0.7772 0.6673 0.4449
Pr 0.0000 0.0000 0.0000
Nd 0.6697 0.9987 0.6688
Nd 0.3303 0.0013 0.3312
Er 0.1101 0.6670 0.7772
Er 0.8899 0.3330 0.2228

space-group type = C2/m (12)
M_tot = 0.00 μB per cell


What should be chosen as the most stable of them? Choose <b>.


<a>
Computed, not measured: a relaxed Pr2Nd5Er3 crystal at the PBE level of DFT.

a b c (Å): 6.8767 12.5420 12.5420
angles (deg): 44.61 74.09 74.09
Positions (direct):
Pr 0.1212 0.7785 0.9791
Pr 0.8788 0.2215 0.0209
Pr 0.6212 0.9791 0.7785
Pr 0.3788 0.0209 0.2215
Nd 0.2500 0.5000 0.5000
Nd 0.7500 0.5000 0.5000
Nd 0.4975 0.7525 0.7525
Nd 0.0025 0.2475 0.2475
Nd 0.5025 0.2475 0.2475
Nd 0.9975 0.7525 0.7525
Nd 0.1269 0.4658 0.2804
Nd 0.8731 0.5342 0.7196
Nd 0.6269 0.2804 0.4658
Nd 0.3731 0.7196 0.5342
Er 0.2500 0.0000 0.0000
Er 0.7500 0.0000 0.0000
Er 0.3813 0.3654 0.8719
Er 0.6187 0.6346 0.1281
Er 0.8813 0.8719 0.3654
Er 0.1187 0.1281 0.6346

space-group type = Ibam (72)
M_tot = 0.00 μB per cell


<b>
Computed, not measured: a relaxed Pr2Nd5Er3 crystal at the PBE level of DFT.

a b c (Å): 9.7769 9.8315 11.2513
angles (deg): 126.73 126.62 68.22
Positions (direct):
Pr 0.7863 0.0237 0.7566
Pr 0.2137 0.9763 0.2434
Pr 0.4702 0.7328 0.7566
Pr 0.5298 0.2672 0.2434
Nd 0.2823 0.5323 0.0646
Nd 0.7177 0.4677 0.9354
Nd 0.0201 0.7701 0.5401
Nd 0.5180 0.2680 0.5361
Nd 0.9799 0.2299 0.4599
Nd 0.4820 0.7320 0.4639
Nd 0.8736 0.6169 0.7665
Nd 0.1264 0.3831 0.2335
Nd 0.3929 0.1496 0.7665
Nd 0.6071 0.8504 0.2335
Er 0.2262 0.9762 0.9524
Er 0.7738 0.0238 0.0476
Er 0.7312 0.4623 0.2408
Er 0.2688 0.5377 0.7592
Er 0.0096 0.7785 0.2408
Er 0.9904 0.2215 0.7592

space-group type = C2/c (15)
M_tot = 0.00 μB per cell


What should be chosen as the most stable of them? Choose <b>.


<a>
Computed, not measured: a relaxed Pr2Nd7Er3 crystal at the PBE level of DFT.

a b c (Å): 3.6703 5.8444 19.5360
angles (deg): 98.60 90.00 90.00
Positions (direct):
Pr 0.0000 0.8514 0.7028
Pr 0.0000 0.1486 0.2972
Nd 0.0000 0.4095 0.8190
Nd 0.0000 0.7684 0.5369
Nd 0.0000 0.0000 0.0000
Nd 0.0000 0.5905 0.1810
Nd 0.5000 0.0714 0.1428
Nd 0.5000 0.9286 0.8572
Nd 0.0000 0.2316 0.4631
Er 0.5000 0.5000 0.0000
Er 0.5000 0.6855 0.3710
Er 0.5000 0.3145 0.6290

space-group type = Cmmm (65)
M_tot = 0.00 μB per cell


<b>
Computed, not measured: a relaxed Pr2Nd7Er3 crystal at the PBE level of DFT.

a b c (Å): 3.5882 6.5035 18.2775
angles (deg): 75.08 90.00 90.00
Positions (direct):
Pr 0.5000 0.6118 0.3292
Pr 0.5000 0.3882 0.6708
Nd 0.5000 0.2373 0.5043
Nd 0.5000 0.7627 0.4957
Nd 0.0000 0.5568 0.1637
Nd 0.0000 0.0000 0.0000
Nd 0.0000 0.4432 0.8363
Nd 0.5000 0.9419 0.8299
Nd 0.5000 0.0581 0.1701
Er 0.5000 0.5000 0.0000
Er 0.0000 0.1140 0.3413
Er 0.0000 0.8860 0.6587

space-group type = P2/m (10)
M_tot = 0.00 μB per cell


What should be chosen as the most stable of them? Choose <b>.


<a>
Computed, not measured: a relaxed Pr2Nd2Er3 crystal at the PBE level of DFT.

a b c (Å): 6.4556 11.6030 6.4114
angles (deg): 90.00 83.97 90.00
Positions (direct):
Pr 0.5394 0.3486 0.5425
Pr 0.9606 0.8486 0.4575
Pr 0.0394 0.1514 0.5425
Pr 0.4606 0.6514 0.4575
Nd 0.7809 0.7217 0.8923
Nd 0.2809 0.7783 0.8923
Nd 0.7191 0.2217 0.1077
Nd 0.2191 0.2783 0.1077
Er 0.5000 0.5000 0.0000
Er 0.0000 0.0000 0.0000
Er 0.5418 0.0404 0.7439
Er 0.9582 0.5404 0.2561
Er 0.0418 0.4596 0.7439
Er 0.4582 0.9596 0.2561

space-group type = P2_1/c (14)
M_tot = 0.00 μB per cell


<b>
Computed, not measured: a relaxed Pr2Nd2Er3 crystal at the PBE level of DFT.

a b c (Å): 6.2596 6.2603 9.5789
angles (deg): 70.92 122.99 131.87
Positions (direct):
Pr 0.4316 0.7134 0.1450
Pr 0.5684 0.2866 0.8550
Nd 0.1407 0.5708 0.7115
Nd 0.8593 0.4292 0.2885
Er 0.0000 0.0000 0.0000
Er 0.7148 0.8569 0.5717
Er 0.2852 0.1431 0.4283

space-group type = C2/m (12)
M_tot = 0.00 μB per cell


What should be chosen as the most stable of them? Choose <b>.